Entry 1:
Material: Re3Ru
Method: DFT, PBE
State: relaxed

Geometry as CIF:
```
data_Re3Ru
_chemical_formula_sum 'Re12 Ru4'
_cell_length_a 6.211
_cell_length_b 6.211
_cell_length_c 6.211
_cell_angle_alpha 90.00
_cell_angle_beta 90.00
_cell_angle_gamma 90.00
_symmetry_space_group_name_H-M 'P 1'
_symmetry_Int_Tables_number 1
_symmetry_space_group_name_Hall 'P 1'
loop_
_atom_site_label
_atom_site_type_symbol
_atom_site_fract_x
_atom_site_fract_y
_atom_site_fract_z
_atom_site_occupancy
Re1 Re 0.000 0.000 0.000 1
Re2 Re 0.000 0.500 0.500 1
Re3 Re 0.250 0.250 0.250 1
Re4 Re 0.250 0.250 0.750 1
Re5 Re 0.250 0.750 0.250 1
Re6 Re 0.250 0.750 0.750 1
Re7 Re 0.500 0.000 0.500 1
Re8 Re 0.500 0.500 0.000 1
Re9 Re 0.750 0.250 0.250 1
Re10 Re 0.750 0.250 0.750 1
Re11 Re 0.750 0.750 0.250 1
Re12 Re 0.750 0.750 0.750 1
Ru1 Ru 0.000 0.000 0.500 1
Ru2 Ru 0.000 0.500 0.000 1
Ru3 Ru 0.500 0.000 0.000 1
Ru4 Ru 0.500 0.500 0.500 1
```

Energy relative to the elements ... 0.40 eV per atom
Mass density ... 18.28 Mg/m³
Total magnetic moment ... 1.3 μB/f.u.


Entry 2:
Material: Re5Ru3
Method: DFT, PBE
State: relaxed

Geometry as CIF:
```
data_Re5Ru3
_chemical_formula_sum 'Re10 Ru6'
_cell_length_a 7.078
_cell_length_b 7.078
_cell_length_c 7.573
_cell_angle_alpha 95.11
_cell_angle_beta 95.11
_cell_angle_gamma 139.28
_symmetry_space_group_name_H-M 'P 1'
_symmetry_Int_Tables_number 1
_symmetry_space_group_name_Hall 'P 1'
loop_
_atom_site_label
_atom_site_type_symbol
_atom_site_fract_x
_atom_site_fract_y
_atom_site_fract_z
_atom_site_occupancy
Re1 Re 0.080 0.740 0.801 1
Re2 Re 0.253 0.253 0.016 1
Re3 Re 0.260 0.920 0.199 1
Re4 Re 0.305 0.501 0.667 1
Re5 Re 0.499 0.695 0.333 1
Re6 Re 0.501 0.305 0.667 1
Re7 Re 0.695 0.499 0.333 1
Re8 Re 0.740 0.080 0.801 1
Re9 Re 0.747 0.747 0.984 1
Re10 Re 0.920 0.260 0.199 1
Ru1 Ru 0.108 0.108 0.363 1
Ru2 Ru 0.227 0.773 0.500 1
Ru3 Ru 0.324 0.676 0.000 1
Ru4 Ru 0.676 0.324 0.000 1
Ru5 Ru 0.773 0.227 0.500 1
Ru6 Ru 0.892 0.892 0.637 1
```

Energy relative to the elements ... 0.22 eV per atom
Mass density ... 17.13 Mg/m³
Total magnetic moment ... 0.0 μB/f.u.


Entry 3:
Material: ReRuS
Method: DFT, PBE
State: relaxed

Geometry as CIF:
```
data_ReRuS
_chemical_formula_sum 'Re2 Ru2 S2'
_cell_length_a 2.869
_cell_length_b 2.869
_cell_length_c 11.947
_cell_angle_alpha 90.00
_cell_angle_beta 90.00
_cell_angle_gamma 120.00
_symmetry_space_group_name_H-M 'P 1'
_symmetry_Int_Tables_number 1
_symmetry_space_group_name_Hall 'P 1'
loop_
_atom_site_label
_atom_site_type_symbol
_atom_site_fract_x
_atom_site_fract_y
_atom_site_fract_z
_atom_site_occupancy
Re1 Re 0.000 0.000 0.000 1
Re2 Re 0.000 0.000 0.500 1
Ru1 Ru 0.667 0.333 0.173 1
Ru2 Ru 0.667 0.333 0.827 1
S1 S 0.333 0.667 0.350 1
S2 S 0.333 0.667 0.650 1
```

Mass density ... 12.45 Mg/m³
Total magnetic moment ... 0.0 μB/f.u.
Calculated total energy ... -8.54 eV/atom


Entry 4:
Material: ReRu3S
Method: DFT, PBE
State: relaxed

Geometry as CIF:
```
data_ReRu3S
_chemical_formula_sum 'Re1 Ru3 S1'
_cell_length_a 4.704
_cell_length_b 4.704
_cell_length_c 4.704
_cell_angle_alpha 90.00
_cell_angle_beta 90.00
_cell_angle_gamma 90.00
_symmetry_space_group_name_H-M 'P 1'
_symmetry_Int_Tables_number 1
_symmetry_space_group_name_Hall 'P 1'
loop_
_atom_site_label
_atom_site_type_symbol
_atom_site_fract_x
_atom_site_fract_y
_atom_site_fract_z
_atom_site_occupancy
Re1 Re 0.000 0.000 0.000 1
Ru1 Ru 0.000 0.000 0.500 1
Ru2 Ru 0.000 0.500 0.000 1
Ru3 Ru 0.500 0.000 0.000 1
S1 S 0.500 0.500 0.500 1
```

Mass density ... 8.32 Mg/m³
Total magnetic moment ... 3.2 μB/f.u.
Calculated total energy ... -6.98 eV/atom


Entry 5:
Material: ReRu3S
Method: DFT, PBE
State: relaxed

Geometry as CIF:
```
data_ReRu3S
_chemical_formula_sum 'Re1 Ru3 S1'
_cell_length_a 4.291
_cell_length_b 4.291
_cell_length_c 4.291
_cell_angle_alpha 90.00
_cell_angle_beta 90.00
_cell_angle_gamma 90.00
_symmetry_space_group_name_H-M 'P 1'
_symmetry_Int_Tables_number 1
_symmetry_space_group_name_Hall 'P 1'
loop_
_atom_site_label
_atom_site_type_symbol
_atom_site_fract_x
_atom_site_fract_y
_atom_site_fract_z
_atom_site_occupancy
Re1 Re 0.000 0.000 0.000 1
Ru1 Ru 0.000 0.500 0.500 1
Ru2 Ru 0.500 0.000 0.500 1
Ru3 Ru 0.500 0.500 0.000 1
S1 S 0.500 0.500 0.500 1
```

Mass density ... 10.96 Mg/m³
Total magnetic moment ... 2.5 μB/f.u.
Calculated total energy ... -7.92 eV/atom


Entry 6:
Material: Tl2ReRuS
Method: DFT, PBE
State: relaxed

Geometry as CIF:
```
data_Tl2ReRuS
_chemical_formula_sum 'Tl2 Re1 Ru1 S1'
_cell_length_a 5.453
_cell_length_b 5.453
_cell_length_c 4.345
_cell_angle_alpha 90.00
_cell_angle_beta 90.00
_cell_angle_gamma 90.00
_symmetry_space_group_name_H-M 'P 1'
_symmetry_Int_Tables_number 1
_symmetry_space_group_name_Hall 'P 1'
loop_
_atom_site_label
_atom_site_type_symbol
_atom_site_fract_x
_atom_site_fract_y
_atom_site_fract_z
_atom_site_occupancy
Tl1 Tl 0.000 0.500 0.000 1
Tl2 Tl 0.500 0.000 0.000 1
Re1 Re 0.000 0.000 0.000 1
Ru1 Ru 0.500 0.500 0.500 1
S1 S 0.000 0.000 0.500 1
```

Mass density ... 9.36 Mg/m³
Total magnetic moment ... 3.1 μB/f.u.
Calculated total energy ... -4.95 eV/atom